VASP calculation (GGA-PBE) on a relaxed structure of BaCa2H2.

- space-group type = P4/mbm, No. 127
- Fermi-level density of states (states/eV/atom) = 0.55
- energy above the lowest structure with this stoichiometry (kcal/mol of atoms) = 4.71
- total magnetization (Bohr magnetons per cell) = 0.000

POSCAR file:
```
BaCa2H2
1.0
-0.7040 -1.3008 7.7437
-6.4033 -4.4047 -1.3221
2.7208 -3.8362 -0.3970
H Ca Ba
4 4 2
Cartesian
-4.6938 -3.4001 0.6871
-5.5588 -4.4035 4.4530
-2.4136 -2.3054 5.7345
-1.5485 -1.3020 1.9686
-3.0521 -5.0925 0.2345
-4.4240 -6.4444 3.8958
0.0374 -3.0973 2.1288
-1.3344 -4.4492 5.7901
0.0000 0.0000 0.0000
-3.5537 -2.8527 3.2108
```